First-principles (PBE) data for Co3C after structural relaxation, as listed in Alexandria via LeMat-Bulk.

E_form: 0.363 eV per atom
space group: Pmm2

Cell and atoms, written as POSCAR:
```
Co3C
1.0
2.502 0.000 0.000
0.000 2.556 0.000
0.000 0.000 6.140
Co C
3 1
Cartesian
0.000 0.000 0.000
0.000 1.278 2.242
1.251 1.278 4.438
1.251 0.000 1.465
```